Below is crystalline AcPmPO at its relaxed geometry, with properties calculated at the PBE-GGA level.

Computed properties:
- E above lowest polymorph: 0.0642 eV per atom

Cell: 4.3290 8.3079 5.8031 Å, 90.00 90.00 90.00°
Last column: magnetic moment on the atom in μB.
Fractional positions:
1 P 0.5000 0.6446 0.9383  0.01
2 P 0.5000 0.3554 0.4383  0.01
3 Ac 0.0000 0.8748 0.9701  0.09
4 Ac 0.0000 0.1252 0.4701  0.09
5 Pm 0.5000 0.3095 0.9413  0.06
6 Pm 0.5000 0.6905 0.4413  0.06
7 O 0.0000 0.1838 0.9042  0.01
8 O 0.0000 0.8162 0.4042  0.01

Below is crystalline AcAgO3 at its relaxed geometry, with properties calculated at the PBE-GGA level.

Computed properties:
- Total DFT energy (no corrections): -121.1 eV for the cell shown

Cell: 5.7794 6.0774 8.2482 Å, 90.00 90.00 90.00°
Fractional positions:
1 Ac 0.9856 0.0614 0.2500
2 Ac 0.0144 0.9386 0.7500
3 Ac 0.4856 0.4386 0.7500
4 Ac 0.5144 0.5614 0.2500
5 Ag 0.0000 0.5000 0.0000
6 Ag 0.5000 0.0000 0.5000
7 Ag 0.0000 0.5000 0.5000
8 Ag 0.5000 0.0000 0.0000
9 O 0.7030 0.3000 0.0481
10 O 0.5919 0.0283 0.7500
11 O 0.4081 0.9717 0.2500
12 O 0.2030 0.2000 0.9519
13 O 0.7970 0.8000 0.4519
14 O 0.0919 0.4717 0.2500
15 O 0.9081 0.5283 0.7500
16 O 0.7970 0.8000 0.0481
17 O 0.2970 0.7000 0.9519
18 O 0.2030 0.2000 0.5481
19 O 0.2970 0.7000 0.5481
20 O 0.7030 0.3000 0.4519